Entry 1:
Here is LuZnCoHg after structural relaxation from OQMD via LeMat-Bulk. Energies are from PBE.

energy of formation	-34	meV per atom
crystal system	cubic

Structure (POSCAR):
```
LuZnCoHg
1.0
0.0000 3.3125 3.3125
3.3125 0.0000 3.3125
3.3125 3.3125 0.0000
Co Hg Lu Zn
1 1 1 1
Cartesian
4.9688 4.9688 4.9688 Co
1.6563 1.6563 1.6563 Hg
3.3125 3.3125 3.3125 Lu
0.0000 0.0000 0.0000 Zn
```

***

Entry 2:
Here is MgCoHgSb after structural relaxation from OQMD via LeMat-Bulk. Energies are from PBE.

crystal system	cubic
uncorrected energy	-3.05	eV per atom

Structure (POSCAR):
```
MgCoHgSb
1.0
1.7517 -2.9564 -3.2735
1.4436 -4.3435 1.2548
-2.4964 -3.8087 -1.3365
Co Hg Mg Sb
1 1 1 1
Cartesian
0.1747 -2.7772 -0.8388 Co
0.3494 -5.5544 -1.6776 Hg
0.5241 -8.3315 -2.5164 Mg
0.0000 0.0000 0.0000 Sb
```